No. 1
VASP calculation (PBE-GGA) on a relaxed Cs3MnIn crystal.

Properties
The energy of formation from the pure elements comes out at 346 kJ/mol of formula units. The value obtained for the total DFT energy (no corrections) is -2.18 eV/atom. For the energy above the most stable polymorph in this dataset, the calculation gives 0.0 meV/atom.

Unit cell a=7.4120 b=7.4120 c=7.4120 alpha=90.00 beta=90.00 gamma=90.00
Fractional positions:
Cs: 0.0000 0.0000 0.5000
Cs: 0.0000 0.5000 0.0000
Cs: 0.5000 0.0000 0.0000
Mn: 0.5000 0.5000 0.5000
In: 0.0000 0.0000 0.0000

=====

No. 2
VASP calculation (PBE-GGA) on a relaxed CsMnIn2Pb crystal.

Properties
The energy of formation from the pure elements comes out at 66 kJ/mol of formula units. The value obtained for the total DFT energy (no corrections) is -3.70 eV/atom.

Unit cell a=5.2731 b=5.2731 c=5.2014 alpha=90.00 beta=90.00 gamma=90.00
Fractional positions:
Cs: 0.0000 0.0000 0.0000
Mn: 0.5000 0.5000 0.5000
In: 0.0000 0.5000 0.5000
In: 0.5000 0.0000 0.5000
Pb: 0.5000 0.5000 0.0000

=====

No. 3
VASP calculation (PBE-GGA) on a relaxed Cs2MnInS crystal.

Properties
The value obtained for the total DFT energy (no corrections) is -3.10 eV/atom. As for the formation energy without anion corrections: 449 meV/atom.

Unit cell a=7.3259 b=7.3259 c=5.1855 alpha=90.00 beta=90.00 gamma=90.00
Fractional positions:
Cs: 0.0000 0.5000 0.0000
Cs: 0.5000 0.0000 0.0000
Mn: 0.0000 0.0000 0.5000
In: 0.5000 0.5000 0.0000
S: 0.5000 0.5000 0.5000

=====

No. 4
VASP calculation (PBE-GGA) on a relaxed Cs2MnInSe4 crystal.

Properties
The value obtained for the total DFT energy (no corrections) is -4.27 eV/atom. As for the formation energy without anion corrections: -825 meV/atom.

Unit cell a=14.8405 b=13.5284 c=7.6411 alpha=84.12 beta=65.07 gamma=30.81
Fractional positions:
Cs: 0.0551 0.0551 0.6949
Cs: 0.3051 0.3051 0.9449
Cs: 0.6949 0.6949 0.0551
Cs: 0.9449 0.9449 0.3051
Mn: 0.3750 0.3750 0.3750
Mn: 0.6250 0.6250 0.6250
In: 0.1250 0.1250 0.1250
In: 0.8750 0.8750 0.8750
Se: 0.0026 0.3621 0.4238
Se: 0.2884 0.5762 0.6379
Se: 0.3621 0.0026 0.7116
Se: 0.4238 0.7116 0.0026
Se: 0.5762 0.2884 0.9974
Se: 0.6379 0.9974 0.2884
Se: 0.7116 0.4238 0.3621
Se: 0.9974 0.6379 0.5762

=====

No. 5
VASP calculation (PBE-GGA) on a relaxed CsMnIn2Sn crystal.

Properties
The energy of formation from the pure elements comes out at 32 kJ/mol of formula units. The value obtained for the total DFT energy (no corrections) is -3.83 eV/atom.

Unit cell a=5.2615 b=5.2615 c=5.0737 alpha=90.00 beta=90.00 gamma=90.00
Fractional positions:
Cs: 0.0000 0.0000 0.0000
Mn: 0.5000 0.5000 0.5000
In: 0.0000 0.5000 0.5000
In: 0.5000 0.0000 0.5000
Sn: 0.5000 0.5000 0.0000

=====

No. 6
VASP calculation (PBE-GGA) on a relaxed CsMnTlIn2 crystal.

Properties
The energy of formation from the pure elements comes out at 646 kJ/mol of formula units. The value obtained for the total DFT energy (no corrections) is -2.23 eV/atom.

Unit cell a=6.4180 b=6.4180 c=5.9054 alpha=90.00 beta=90.00 gamma=90.00
Fractional positions:
Cs: 0.0000 0.0000 0.0000
Mn: 0.0000 0.0000 0.5000
Tl: 0.5000 0.5000 0.5000
In: 0.0000 0.5000 0.0000
In: 0.5000 0.0000 0.0000

=====

No. 7
VASP calculation (PBE-GGA) on a relaxed Cs3InMo crystal.

Properties
The energy of formation from the pure elements comes out at 563 kJ/mol of formula units. The value obtained for the total DFT energy (no corrections) is -2.06 eV/atom. For the energy above the most stable polymorph in this dataset, the calculation gives 0.0 meV/atom.

Unit cell a=7.3032 b=7.3032 c=7.3032 alpha=90.00 beta=90.00 gamma=90.00
Fractional positions:
Cs: 0.0000 0.0000 0.5000
Cs: 0.0000 0.5000 0.0000
Cs: 0.5000 0.0000 0.0000
In: 0.0000 0.0000 0.0000
Mo: 0.5000 0.5000 0.5000

=====

No. 8
VASP calculation (PBE-GGA) on a relaxed Cs4In2Mo crystal.

Properties
The energy of formation from the pure elements comes out at 719 kJ/mol of formula units. The value obtained for the total DFT energy (no corrections) is -1.75 eV/atom.

Unit cell a=6.9220 b=6.9220 c=16.1371 alpha=90.00 beta=90.00 gamma=90.00
Fractional positions:
Cs: 0.0000 0.0000 0.1759
Cs: 0.0000 0.0000 0.8241
Cs: 0.0000 0.5000 0.0000
Cs: 0.0000 0.5000 0.5000
Cs: 0.5000 0.0000 0.0000
Cs: 0.5000 0.0000 0.5000
Cs: 0.5000 0.5000 0.3241
Cs: 0.5000 0.5000 0.6759
In: 0.0000 0.0000 0.4095
In: 0.0000 0.0000 0.5905
In: 0.5000 0.5000 0.0905
In: 0.5000 0.5000 0.9095
Mo: 0.0000 0.0000 0.0000
Mo: 0.5000 0.5000 0.5000